# 1
## BaSr2H (GGA-PBEsol)

Data for an optimized crystal structure of BaSr2H.

a = 7.8349 Å, b = 7.8349 Å, c = 7.8349 Å
α = 60.00°, β = 60.00°, γ = 60.00°
Fractional coordinates of all 8 atoms:
Sr: 0.6250 0.1250 0.6250
Sr: 0.1250 0.6250 0.6250
Sr: 0.6250 0.6250 0.1250
Sr: 0.6250 0.6250 0.6250
Ba: 0.0000 0.0000 0.0000
Ba: 0.2500 0.2500 0.2500
H: 0.5000 0.5000 0.5000
H: 0.7500 0.7500 0.7500

Summary:
Total moment   0.0 μB per cell
Volume   340.1 Å³/cell
VASP energy   -2.467 eV/atom

=====

# 2
## TiTePtI2 (GGA-PBEsol)

Data for an optimized crystal structure of TiTePtI2.

a = 5.1511 Å, b = 5.1511 Å, c = 5.4054 Å
α = 90.00°, β = 90.00°, γ = 90.00°
Fractional coordinates of all 5 atoms:
I: 0.0000 0.5000 0.0000
I: 0.5000 0.0000 0.0000
Te: 0.0000 0.0000 0.5000
Pt: 0.5000 0.5000 0.5000
Ti: 0.0000 0.0000 0.0000

Summary:
Total moment   0.0 μB per cell
ΔE_f (raw)   575 meV per atom
Volume   143.4 Å³/cell
ΔE to the lowest computed polymorph   75.7 meV/atom

=====

# 3
## Ba2AgMoBr (GGA-PBEsol)

Data for an optimized crystal structure of Ba2AgMoBr.

a = 5.0444 Å, b = 6.3097 Å, c = 6.3097 Å
α = 90.00°, β = 90.00°, γ = 90.00°
Last column: magnetic moment on the atom in μB.
Fractional coordinates of all 5 atoms:
Mo: 0.5000 0.0000 0.0000  3.12
Br: 0.5000 0.5000 0.5000  0.02
Ba: 0.0000 0.0000 0.5000  -0.02
Ba: 0.0000 0.5000 0.0000  -0.02
Ag: 0.0000 0.0000 0.0000  0.10

Summary:
Total moment   3.8 μB per cell
ΔE_f (raw)   395 meV per atom
Volume   200.8 Å³/cell

=====

# 4
## Zn2AgAu (GGA-PBEsol)

Data for an optimized crystal structure of Zn2AgAu.

a = 2.9718 Å, b = 3.4449 Å, c = 5.9294 Å
α = 90.00°, β = 90.00°, γ = 90.00°
Fractional coordinates of all 4 atoms:
Zn: 0.0000 0.0000 0.7492
Zn: 0.0000 0.0000 0.2508
Au: 0.5000 0.5000 0.5000
Ag: 0.5000 0.5000 0.0000

Summary:
Total moment   0.0 μB per cell
Volume   60.7 Å³/cell
ΔE to the lowest computed polymorph   22.1 meV/atom
Formation energy from the elements   -0.15 eV per atom

=====

# 5
## AlVFe2 (GGA-PBEsol)

Data for an optimized crystal structure of AlVFe2.

a = 4.0756 Å, b = 4.0756 Å, c = 4.0756 Å
α = 60.00°, β = 60.00°, γ = 60.00°
Last column: magnetic moment on the atom in μB.
Fractional coordinates of all 4 atoms:
Al: 0.0000 0.0000 0.0000  -0.02
Fe: 0.7500 0.7500 0.7500  1.98
Fe: 0.5000 0.5000 0.5000  2.00
V: 0.2500 0.2500 0.2500  -0.37

Summary:
Total moment   3.5 μB per cell
Volume   47.9 Å³/cell
Formation energy from the elements   -0.11 eV per atom

=====

# 6
## Hg2H8C2NCl5 (GGA-PBEsol)

Data for an optimized crystal structure of Hg2H8C2NCl5.

a = 6.9778 Å, b = 10.3991 Å, c = 15.9912 Å
α = 104.40°, β = 90.00°, γ = 90.00°
Fractional coordinates of all 72 atoms:
Hg: 0.8896 0.1469 0.6467
Hg: 0.3896 0.3531 0.8533
Hg: 0.1104 0.8531 0.3533
Hg: 0.6104 0.6469 0.1467
Hg: 0.3797 0.9322 0.5948
Hg: 0.8797 0.5678 0.9052
Hg: 0.6203 0.0678 0.4052
Hg: 0.1203 0.4322 0.0948
H: 0.2840 0.6251 0.6756
H: 0.7840 0.8749 0.8244
H: 0.7160 0.3749 0.3244
H: 0.2160 0.1251 0.1756
H: 0.1493 0.5067 0.7046
H: 0.6493 0.9933 0.7954
H: 0.8507 0.4933 0.2954
H: 0.3507 0.0067 0.2046
H: 0.9072 0.5225 0.6017
H: 0.4072 0.9775 0.8983
H: 0.0928 0.4775 0.3983
H: 0.5928 0.0225 0.1017
H: 0.0498 0.6473 0.5690
H: 0.5498 0.8527 0.9310
H: 0.9502 0.3527 0.4310
H: 0.4502 0.1473 0.0690
H: 0.9510 0.6807 0.6763
H: 0.4510 0.8193 0.8237
H: 0.0490 0.3193 0.3237
H: 0.5490 0.1807 0.1763
H: 0.3216 0.4884 0.5322
H: 0.8216 0.0116 0.9678
H: 0.6784 0.5116 0.4678
H: 0.1784 0.9884 0.0322
H: 0.1791 0.3626 0.5628
H: 0.6791 0.1374 0.9372
H: 0.8209 0.6374 0.4372
H: 0.3209 0.8626 0.0628
H: 0.4081 0.4089 0.6130
H: 0.9081 0.0911 0.8870
H: 0.5919 0.5911 0.3870
H: 0.0919 0.9089 0.1130
C: 0.0110 0.6038 0.6228
C: 0.5110 0.8962 0.8772
C: 0.9890 0.3962 0.3772
C: 0.4890 0.1038 0.1228
C: 0.2802 0.4450 0.5856
C: 0.7802 0.0550 0.9144
C: 0.7198 0.5550 0.4144
C: 0.2198 0.9450 0.0856
N: 0.1855 0.5486 0.6532
N: 0.6855 0.9514 0.8468
N: 0.8145 0.4514 0.3468
N: 0.3145 0.0486 0.1532
Cl: 0.0375 0.9785 0.7017
Cl: 0.5375 0.5215 0.7983
Cl: 0.9625 0.0215 0.2983
Cl: 0.4625 0.4785 0.2017
Cl: 0.7772 0.2811 0.5564
Cl: 0.2772 0.2189 0.9436
Cl: 0.2228 0.7189 0.4436
Cl: 0.7228 0.7811 0.0564
Cl: 0.5465 0.1351 0.7298
Cl: 0.0465 0.3649 0.7702
Cl: 0.4535 0.8649 0.2702
Cl: 0.9535 0.6351 0.2298
Cl: 0.5122 0.7610 0.6511
Cl: 0.0122 0.7390 0.8489
Cl: 0.4878 0.2390 0.3489
Cl: 0.9878 0.2610 0.1511
Cl: 0.2582 0.0804 0.5159
Cl: 0.7582 0.4196 0.9841
Cl: 0.7418 0.9196 0.4841
Cl: 0.2418 0.5804 0.0159

Summary:
Total moment   0.0 μB per cell
Volume   1123.9 Å³/cell
VASP energy   -4.073 eV/atom

=====

# 7
## Sc3Si3Ni2 (GGA-PBEsol)

Data for an optimized crystal structure of Sc3Si3Ni2.

a = 3.9387 Å, b = 5.1812 Å, c = 12.9733 Å
α = 90.00°, β = 90.00°, γ = 112.34°
Fractional coordinates of all 16 atoms:
Sc: 0.0819 0.1637 0.6117
Sc: 0.9181 0.8363 0.3883
Sc: 0.9181 0.8363 0.1117
Sc: 0.3608 0.7216 0.7500
Sc: 0.0819 0.1637 0.8883
Sc: 0.6392 0.2784 0.2500
Si: 0.3412 0.6824 0.2500
Si: 0.6588 0.3176 0.7500
Si: 0.3823 0.7646 0.9612
Si: 0.6177 0.2354 0.0388
Si: 0.6177 0.2354 0.4612
Si: 0.3823 0.7646 0.5388
Ni: 0.2090 0.4181 0.0965
Ni: 0.7910 0.5819 0.9035
Ni: 0.2090 0.4181 0.4035
Ni: 0.7910 0.5819 0.5965

Summary:
Total moment   0.0 μB per cell
ΔE_f (raw)   -940 meV per atom
Volume   244.9 Å³/cell

=====

# 8
## UCdO4 (GGA-PBEsol)

Data for an optimized crystal structure of UCdO4.

a = 3.4937 Å, b = 4.9390 Å, c = 4.9390 Å
α = 91.63°, β = 90.00°, γ = 90.00°
Fractional coordinates of all 6 atoms:
U: 0.0000 0.0000 0.0000
O: 0.0000 0.2847 0.2847
O: 0.5000 0.1773 0.8227
O: 0.0000 0.7153 0.7153
O: 0.5000 0.8227 0.1773
Cd: 0.5000 0.5000 0.5000

Summary:
Total moment   0.0 μB per cell
ΔE_f (raw)   -2422 meV per atom
Volume   85.2 Å³/cell

=====

# 9
## Mn2PHAu (GGA-PBEsol)

Data for an optimized crystal structure of Mn2PHAu.

a = 4.5511 Å, b = 4.5511 Å, c = 4.6063 Å
α = 90.00°, β = 90.00°, γ = 90.00°
Last column: magnetic moment on the atom in μB.
Fractional coordinates of all 5 atoms:
P: 0.0000 0.0000 0.0000  -0.03
Mn: 0.0000 0.5000 0.0000  3.94
Mn: 0.5000 0.0000 0.0000  3.94
Au: 0.0000 0.0000 0.5000  0.09
H: 0.5000 0.5000 0.5000  0.17

Summary:
Total moment   9.0 μB per cell
Volume   95.4 Å³/cell
VASP energy   -5.599 eV/atom

=====

# 10
## CaY2Br (GGA-PBEsol)

Data for an optimized crystal structure of CaY2Br.

a = 3.5529 Å, b = 5.5438 Å, c = 6.9855 Å
α = 113.05°, β = 104.25°, γ = 91.17°
Fractional coordinates of all 4 atoms:
Y: 0.0000 0.0000 0.5000
Y: 0.5000 0.5000 0.5000
Ca: 0.0000 0.5000 0.0000
Br: 0.5000 0.0000 0.0000

Summary:
Total moment   0.0 μB per cell
ΔE_f (raw)   -234 meV per atom
Volume   121.6 Å³/cell
ΔE to the lowest computed polymorph   142.1 meV/atom

=====

# 11
## NaHfCoI2 (GGA-PBEsol)

Data for an optimized crystal structure of NaHfCoI2.

a = 4.5718 Å, b = 5.7128 Å, c = 5.7128 Å
α = 90.00°, β = 90.00°, γ = 90.00°
Last column: magnetic moment on the atom in μB.
Fractional coordinates of all 5 atoms:
I: 0.0000 0.0000 0.5000  0.00
I: 0.0000 0.5000 0.0000  0.00
Co: 0.5000 0.0000 0.0000  0.64
Hf: 0.0000 0.0000 0.0000  -0.13
Na: 0.5000 0.5000 0.5000  0.00

Summary:
Total moment   0.4 μB per cell
ΔE_f (raw)   189 meV per atom
Volume   149.2 Å³/cell

=====

# 12
## Cu3PtO (GGA-PBEsol)

Data for an optimized crystal structure of Cu3PtO.

a = 3.8833 Å, b = 3.8833 Å, c = 3.8833 Å
α = 90.00°, β = 90.00°, γ = 90.00°
Fractional coordinates of all 5 atoms:
O: 0.0000 0.0000 0.0000
Cu: 0.0000 0.5000 0.0000
Cu: 0.0000 0.0000 0.5000
Cu: 0.5000 0.0000 0.0000
Pt: 0.5000 0.5000 0.5000

Summary:
Total moment   0.0 μB per cell
ΔE_f (raw)   -61 meV per atom
Volume   58.6 Å³/cell